Entry 1:
# ZnCrF5, relaxed, DFT GGA-PBEsol
data_ZnCrF5
_chemical_formula_sum 'Zn4 Cr4 F20'
_cell_length_a 8.323
_cell_length_b 6.165
_cell_length_c 7.284
_cell_angle_alpha 90.00
_cell_angle_beta 115.40
_cell_angle_gamma 90.00
_symmetry_space_group_name_H-M 'C 1 2/c 1'
_symmetry_Int_Tables_number 15
loop_
_symmetry_equiv_pos_as_xyz
'x,y,z'
'-x,-y,-z'
'-x,y,-z+1/2'
'x,-y,z+1/2'
'x+1/2,y+1/2,z'
'-x+1/2,-y+1/2,-z'
'-x+1/2,y+1/2,-z+1/2'
'x+1/2,-y+1/2,z+1/2'
loop_
_atom_site_label
_atom_site_type_symbol
_atom_site_fract_x
_atom_site_fract_y
_atom_site_fract_z
_atom_site_occupancy
Zn1 Zn 0.000 0.024 0.250 1
Cr1 Cr 0.000 0.500 0.000 1
F1 F 0.000 0.401 0.250 1
F2 F 0.031 0.200 0.968 1
F3 F 0.246 0.447 0.636 1
# Formation energy from raw total energies ... -2.427 eV/atom

=====

Entry 2:
# ZnCr2F, relaxed, DFT GGA-PBEsol
data_ZnCr2F
_chemical_formula_sum 'Zn4 Cr8 F4'
_cell_length_a 6.161
_cell_length_b 6.161
_cell_length_c 6.161
_cell_angle_alpha 90.00
_cell_angle_beta 90.00
_cell_angle_gamma 90.00
_symmetry_space_group_name_H-M 'F m -3 m'
_symmetry_Int_Tables_number 225
_symmetry_space_group_name_Hall '-F 4 2 3'
loop_
_atom_site_label
_atom_site_type_symbol
_atom_site_fract_x
_atom_site_fract_y
_atom_site_fract_z
_atom_site_occupancy
Zn1 Zn 0.000 0.000 0.000 1
Cr1 Cr 0.250 0.250 0.250 1
F1 F 0.000 0.000 0.500 1
# Formation energy from raw total energies ... 0.326 eV/atom